# LiV2P5O16 | Alexandria via LeMat-Bulk | PBE+U | relaxed
# DFT total energy: -0.269 hartree per atom
# energy above the most stable polymorph in this dataset: 1.84 kJ/mol of atoms
# symmetry: No. 7
data_LiV2P5O16
_chemical_formula_sum 'Li2 V4 P10 O32'
_cell_length_a 7.6417
_cell_length_b 9.6165
_cell_length_c 10.3952
_cell_angle_alpha 90.00
_cell_angle_beta 111.43
_cell_angle_gamma 90.00
_symmetry_space_group_name_H-M 'P 1'
_symmetry_Int_Tables_number 1
_symmetry_space_group_name_Hall 'P 1'
loop_
_atom_site_label
_atom_site_type_symbol
_atom_site_fract_x
_atom_site_fract_y
_atom_site_fract_z
_atom_site_occupancy
Li1 Li 0.0000 0.1232 0.0000 1
Li2 Li 0.0000 0.8768 0.5000 1
V1 V 0.4867 0.3593 0.2387 1
V2 V 0.4867 0.6407 0.7387 1
V3 V 0.9341 0.1353 0.6331 1
V4 V 0.9341 0.8647 0.1331 1
P1 P 0.2553 0.3590 0.6460 1
P2 P 0.2553 0.6410 0.1460 1
P3 P 0.2926 0.2047 0.9019 1
P4 P 0.2926 0.7953 0.4019 1
P5 P 0.3487 0.0449 0.2665 1
P6 P 0.3487 0.9551 0.7665 1
P7 P 0.5875 0.3793 0.5725 1
P8 P 0.5875 0.6207 0.0725 1
P9 P 0.7369 0.0829 0.2900 1
P10 P 0.7369 0.9171 0.7900 1
O1 O 0.0673 0.2895 0.5779 1
O2 O 0.0673 0.7105 0.0779 1
O3 O 0.0782 0.1929 0.8456 1
O4 O 0.0782 0.8071 0.3456 1
O5 O 0.1718 0.0059 0.6500 1
O6 O 0.1718 0.9941 0.1500 1
O7 O 0.2542 0.4860 0.1659 1
O8 O 0.2542 0.5140 0.6659 1
O9 O 0.3507 0.1959 0.3019 1
O10 O 0.3507 0.8041 0.8019 1
O11 O 0.3625 0.2875 0.7973 1
O12 O 0.3625 0.7125 0.2973 1
O13 O 0.3759 0.0497 0.9015 1
O14 O 0.3759 0.9503 0.4015 1
O15 O 0.3783 0.2612 0.0439 1
O16 O 0.3783 0.7388 0.5439 1
O17 O 0.3842 0.3124 0.5650 1
O18 O 0.3842 0.6876 0.0650 1
O19 O 0.5290 0.0053 0.2313 1
O20 O 0.5290 0.9947 0.7313 1
O21 O 0.5541 0.4349 0.4279 1
O22 O 0.5541 0.5651 0.9279 1
O23 O 0.6344 0.4924 0.6816 1
O24 O 0.6344 0.5076 0.1816 1
O25 O 0.7096 0.2388 0.2812 1
O26 O 0.7096 0.7612 0.7812 1
O27 O 0.7199 0.2546 0.6127 1
O28 O 0.7199 0.7454 0.1127 1
O29 O 0.8305 0.0307 0.1930 1
O30 O 0.8305 0.9693 0.6930 1
O31 O 0.8345 0.0334 0.4396 1
O32 O 0.8345 0.9666 0.9396 1